# LiCdRh2

LiCdRh2 after structural relaxation (PBE-GGA, Alexandria).

```
LiCdRh2
1.0
-1.144 0.830 -2.447
2.093 -1.271 -1.411
-4.187 -6.586 -0.277
Cd Rh Li
1 2 1
Cartesian
-2.072 -3.259 -0.137
-0.017 -0.027 -0.001
-0.475 -1.713 -1.992
-2.768 -5.321 -2.144
```

* N(E_F): 4.16 states/eV per cell
* formation enthalpy at 0 K: -0.0558 eV per atom

***

# NdZnInCu

NdZnInCu after structural relaxation (PBE-GGA, Alexandria).

```
NdZnInCu
1.0
-0.779 4.712 -0.926
-4.161 2.098 1.396
0.005 3.228 3.640
In Zn Cu Nd
1 1 1 1
Cartesian
-2.468 5.019 2.055
-3.702 7.529 3.082
-1.234 2.510 1.027
0.000 0.000 0.000
```

* N(E_F): 1.61 states/eV per cell
* formation enthalpy at 0 K: -0.3186 eV per atom